TbFeAsO | the Alexandria database | PBE with a Hubbard U | optimized geometry; total energy = -6.62 eV/atom; V = 17.91 A^3/atom; spin magnetization = 3.72 μB per formula unit; symmetry = P4/nmm; D(E_F) = 0.97 states/eV/cell
1.0
3.966 0.000 0.000
0.000 3.966 0.000
0.000 0.000 9.109
Tb Fe As O
2 2 2 2
direct
0.000 0.500 0.879 Tb
0.500 0.000 0.121 Tb
0.000 0.000 0.500 Fe
0.500 0.500 0.500 Fe
0.000 0.500 0.315 As
0.500 0.000 0.685 As
0.000 0.000 0.000 O
0.500 0.500 0.000 O